In3AgO after structural relaxation, computed with PBE.

Unit cell a=5.227 b=5.227 c=5.227 alpha=90.00 beta=90.00 gamma=90.00
Space group Pm-3m (No. 221)
One atom of each set of equivalent atoms:
In  0.000  0.000  0.500 (multiplicity 3)
Ag  0.000  0.000  0.000 (multiplicity 1)
O  0.500  0.500  0.500 (multiplicity 1)

Calculated values
Density   5.4 Mg/m³
Density of states at the Fermi level   1.50 states/eV per cell
Formation energy from raw total energies   458 meV per atom
VASP energy   -13.73 eV/cell